Here is an optimized crystal structure of La2YRuPb from Alexandria. Energies are from PBE-GGA.

V = 158.7 Å³/cell
density of states at the Fermi level = 4.89 states/eV per cell
ρ = 7.06 g/cm3
E_form = -370 meV per atom
E_tot = -6.231 eV/atom

Cell: 5.375 5.375 5.495 Å, 90.00 90.00 90.00°
Fractional positions:
Pb  0.500  0.500  0.500
Ru  0.000  0.000  0.000
Y  0.000  0.000  0.500
La  0.000  0.500  0.000
La  0.500  0.000  0.000